Entry 1:
Below is crystalline CaTbSmSc at its relaxed geometry, with properties calculated at the PBE level.

Energy of formation from the pure elements = 0.155 eV per atom
Crystal system = cubic

abc: 7.9845 7.9845 7.9845
angles: 90.00 90.00 90.00
Closest atoms and distances in Å follow each position.
Space group F-43m (No. 216)
One atom of each set of equivalent atoms:
Ca (0.0000, 0.0000, 0.0000) [4 per cell]  4 Sm 3.46, 4 Tb 3.46
Tb (0.2500, 0.2500, 0.7500) [4 per cell]  4 Ca 3.46, 4 Sc 3.46
Sm (0.2500, 0.2500, 0.2500) [4 per cell]  4 Ca 3.46, 4 Sc 3.46
Sc (0.0000, 0.0000, 0.5000) [4 per cell]  4 Tb 3.46, 4 Sm 3.46


Entry 2:
Below is crystalline CaSm2ScTe4 at its relaxed geometry, with properties calculated at the PBE level.

Crystal system = monoclinic
Formation energy without anion corrections = -1351 meV/atom

abc: 7.5686 4.3471 7.6576
angles: 90.00 108.91 90.00
Closest atoms and distances in Å follow each position.
Space group P2/m (No. 10)
One atom of each set of equivalent atoms:
Ca (0.0000, 0.0000, 0.0000) [1 per cell]  6 Te 3.08-3.09
Sm (0.0000, 0.5000, 0.5000) [1 per cell]  6 Te 3.19
Sm (0.5000, 0.0000, 0.5000) [1 per cell]  6 Te 3.12
Sc (0.5000, 0.5000, 0.0000) [1 per cell]  6 Te 3.01
Te (0.2544, 0.5000, 0.2402) [2 per cell]  1 Sc 3.01, 2 Ca 3.09, 3 Sm 3.12-3.19
Te (0.2622, 0.0000, 0.7657) [2 per cell]  2 Sc 3.01, 1 Ca 3.08, 3 Sm 3.12-3.19


Entry 3:
Below is crystalline CaSmYSc at its relaxed geometry, with properties calculated at the PBE level.

Energy of formation from the pure elements = 0.154 eV per atom
Crystal system = cubic

abc: 7.9953 7.9953 7.9953
angles: 90.00 90.00 90.00
Closest atoms and distances in Å follow each position.
Space group F-43m (No. 216)
One atom of each set of equivalent atoms:
Ca (0.0000, 0.0000, 0.0000) [4 per cell]  4 Sm 3.46, 4 Y 3.46
Sm (0.2500, 0.2500, 0.7500) [4 per cell]  4 Ca 3.46, 4 Sc 3.46
Y (0.2500, 0.2500, 0.2500) [4 per cell]  4 Ca 3.46, 4 Sc 3.46
Sc (0.0000, 0.0000, 0.5000) [4 per cell]  4 Sm 3.46, 4 Y 3.46


Entry 4:
Below is crystalline Ca2ScSn2 at its relaxed geometry, with properties calculated at the PBE level.

Energy of formation from the pure elements = -0.565 eV per atom
Crystal system = tetragonal
Excess energy over the best structure of this formula in the dataset = 0.00 kcal/mol of atoms

abc: 7.7704 7.7704 4.8203
angles: 90.00 90.00 90.00
Closest atoms and distances in Å follow each position.
Space group P4/mbm (No. 127)
One atom of each set of equivalent atoms:
Ca (0.1688, 0.3312, 0.0000) [4 per cell]  6 Sn 3.23-3.38
Sc (0.0000, 0.0000, 0.5000) [2 per cell]  4 Sn 3.02
Sn (0.1351, 0.6351, 0.5000) [4 per cell]  1 Sn 2.97, 2 Sc 3.02, 2 Ca 3.23


Entry 5:
Below is crystalline CaSc2Sn2 at its relaxed geometry, with properties calculated at the PBE level.

Energy of formation from the pure elements = -0.540 eV per atom
Crystal system = tetragonal
Excess energy over the best structure of this formula in the dataset = 0.00 kcal/mol of atoms

abc: 8.6480 8.6480 3.4539
angles: 90.00 90.00 90.00
Closest atoms and distances in Å follow each position.
Space group P4/mbm (No. 127)
One atom of each set of equivalent atoms:
Ca (0.0000, 0.0000, 0.0000) [2 per cell]  4 Sn 3.24, 2 Ca 3.45
Sc (0.1335, 0.3665, 0.5000) [4 per cell]  6 Sn 3.03-3.10, 1 Sc 3.27
Sn (0.1632, 0.6632, 0.0000) [4 per cell]  6 Sc 3.03-3.10, 2 Ca 3.24


Entry 6:
Below is crystalline CaScSn2 at its relaxed geometry, with properties calculated at the PBE level.

Energy of formation from the pure elements = -0.462 eV per atom
Crystal system = trigonal

abc: 3.6259 3.6259 28.2680
angles: 90.00 90.00 120.00
Closest atoms and distances in Å follow each position.
Space group R-3m (No. 166, hexagonal axes)
One atom of each set of equivalent atoms:
Ca (0.0000, 0.0000, 0.0000) [3 per cell]  6 Sn 3.25, 6 Ca 3.63
Sc (0.0000, 0.0000, 0.5000) [3 per cell]  6 Sn 3.06
Sn (0.0000, 0.0000, 0.2454) [6 per cell]  3 Sc 3.06, 3 Ca 3.25